Below is crystalline Tb2DyY6Ho3 at its relaxed geometry, with properties calculated at the PBE level.

Values from the calculation:
**Energy of formation**: 0.02 eV/atom
**N(E_F)**: 1.441 states/eV per atom

Cell lengths 6.1605, 10.6575, 11.7840 Å; angles 90.00, 99.98, 90.00 degrees
Space group C2/m (No. 12)
Inequivalent atoms, fractional coordinates:
Tb  0.0000  0.1666  0.0000 (multiplicity 4)
Dy  0.0000  0.5000  0.0000 (multiplicity 2)
Y  0.2494  0.1666  0.7494 (multiplicity 8)
Y  0.2493  0.5000  0.7492 (multiplicity 4)
Ho  0.0000  0.0000  0.5000 (multiplicity 2)
Ho  0.0000  0.3333  0.5000 (multiplicity 4)